# PBE BaLaCl2, relaxed
# Energy ... -16.55 eV per formula unit
# Formation energy from raw total energies ... -1.502 eV per atom
data_BaLaCl2
_symmetry_space_group_name_H-M 'R -3 m'
_symmetry_Int_Tables_number 166
_symmetry_space_group_name_Hall '-R 3 2"'
_cell_length_a 3.9534
_cell_length_b 3.9534
_cell_length_c 30.6036
_cell_angle_alpha 90.00
_cell_angle_beta 90.00
_cell_angle_gamma 120.00
loop_
_atom_site_label
_atom_site_type_symbol
_atom_site_fract_x
_atom_site_fract_y
_atom_site_fract_z
Ba1 Ba 0.0000 0.0000 0.0000
La1 La 0.0000 0.0000 0.5000
Cl1 Cl 0.0000 0.0000 0.1020

***

# PBE Co3TcAu, relaxed
# Energy ... -25.55 eV per formula unit
data_Co3TcAu
_symmetry_space_group_name_H-M 'P m -3 m'
_symmetry_Int_Tables_number 221
_symmetry_space_group_name_Hall '-P 4 2 3'
_cell_length_a 4.6157
_cell_length_b 4.6157
_cell_length_c 4.6157
_cell_angle_alpha 90.00
_cell_angle_beta 90.00
_cell_angle_gamma 90.00
loop_
_atom_site_label
_atom_site_type_symbol
_atom_site_fract_x
_atom_site_fract_y
_atom_site_fract_z
Co1 Co 0.0000 0.0000 0.5000
Tc1 Tc 0.5000 0.5000 0.5000
Au1 Au 0.0000 0.0000 0.0000

***

# PBE KAgCl3, relaxed
# Energy ... -14.52 eV per formula unit
# Formation energy from raw total energies ... -1.007 eV per atom
data_KAgCl3
_symmetry_space_group_name_H-M 'P 1'
_symmetry_Int_Tables_number 1
_cell_length_a 4.3009
_cell_length_b 8.4322
_cell_length_c 8.7526
_cell_angle_alpha 118.41
_cell_angle_beta 93.86
_cell_angle_gamma 90.60
loop_
_symmetry_equiv_pos_as_xyz
'x,y,z'
loop_
_atom_site_label
_atom_site_type_symbol
_atom_site_fract_x
_atom_site_fract_y
_atom_site_fract_z
K1 K 0.0000 0.0000 0.0000
K2 K 0.0053 0.9952 0.4979
Ag1 Ag 0.0080 0.4960 0.9974
Ag2 Ag 0.5050 0.4956 0.4983
Cl1 Cl 0.0819 0.5087 0.2879
Cl2 Cl 0.3440 0.2446 0.8760
Cl3 Cl 0.4887 0.1657 0.3335
Cl4 Cl 0.5213 0.8254 0.6622
Cl5 Cl 0.6709 0.7465 0.1189
Cl6 Cl 0.9334 0.4823 0.7063

***

# PBE ThZnGa3, relaxed
# Energy ... -18.83 eV per formula unit
data_ThZnGa3
_symmetry_space_group_name_H-M 'R 3 m'
_symmetry_Int_Tables_number 160
_symmetry_space_group_name_Hall 'R 3 -2"'
_cell_length_a 6.5927
_cell_length_b 6.5927
_cell_length_c 8.3094
_cell_angle_alpha 90.00
_cell_angle_beta 90.00
_cell_angle_gamma 120.00
loop_
_atom_site_label
_atom_site_type_symbol
_atom_site_fract_x
_atom_site_fract_y
_atom_site_fract_z
Th1 Th 0.0000 0.0000 0.0000
Zn1 Zn 0.0000 0.0000 0.3712
Ga1 Ga 0.2037 0.4074 0.3047

***

# PBE PmTm2Os, relaxed
# Energy ... -24.62 eV per formula unit
data_PmTm2Os
_symmetry_space_group_name_H-M 'R -3 m'
_symmetry_Int_Tables_number 166
_symmetry_space_group_name_Hall '-R 3 2"'
_cell_length_a 4.7483
_cell_length_b 4.7483
_cell_length_c 15.5908
_cell_angle_alpha 90.00
_cell_angle_beta 90.00
_cell_angle_gamma 120.00
loop_
_atom_site_label
_atom_site_type_symbol
_atom_site_fract_x
_atom_site_fract_y
_atom_site_fract_z
Pm1 Pm 0.0000 0.0000 0.0000
Tm1 Tm 0.0000 0.0000 0.2228
Os1 Os 0.0000 0.0000 0.5000

***

# PBE NaLiCa2Ni, relaxed
# Energy ... -12.27 eV per formula unit
data_NaLiCa2Ni
_symmetry_space_group_name_H-M 'P 4/m m m'
_symmetry_Int_Tables_number 123
_symmetry_space_group_name_Hall '-P 4 2'
_cell_length_a 5.3902
_cell_length_b 5.3902
_cell_length_c 5.5213
_cell_angle_alpha 90.00
_cell_angle_beta 90.00
_cell_angle_gamma 90.00
loop_
_atom_site_label
_atom_site_type_symbol
_atom_site_fract_x
_atom_site_fract_y
_atom_site_fract_z
Na1 Na 0.0000 0.0000 0.0000
Li1 Li 0.5000 0.5000 0.0000
Ca1 Ca 0.0000 0.5000 0.5000
Ni1 Ni 0.0000 0.0000 0.5000

***

# PBE KIr2Cl, relaxed
# Energy ... -17.64 eV per formula unit
# Formation energy from raw total energies ... 0.756 eV per atom
data_KIr2Cl
_symmetry_space_group_name_H-M 'C m m m'
_symmetry_Int_Tables_number 65
_symmetry_space_group_name_Hall '-C 2 2'
_cell_length_a 5.2211
_cell_length_b 13.5798
_cell_length_c 2.5888
_cell_angle_alpha 90.00
_cell_angle_beta 90.00
_cell_angle_gamma 90.00
loop_
_atom_site_label
_atom_site_type_symbol
_atom_site_fract_x
_atom_site_fract_y
_atom_site_fract_z
K1 K 0.0000 0.0000 0.0000
Ir1 Ir 0.2500 0.2500 0.5000
Cl1 Cl 0.0000 0.5000 0.0000

***

# PBE YMn2Co, relaxed
# Energy ... -29.67 eV per formula unit
data_YMn2Co
_symmetry_space_group_name_H-M 'R -3 m'
_symmetry_Int_Tables_number 166
_symmetry_space_group_name_Hall '-R 3 2"'
_cell_length_a 3.0536
_cell_length_b 3.0536
_cell_length_c 26.4530
_cell_angle_alpha 90.00
_cell_angle_beta 90.00
_cell_angle_gamma 120.00
loop_
_atom_site_label
_atom_site_type_symbol
_atom_site_fract_x
_atom_site_fract_y
_atom_site_fract_z
Y1 Y 0.0000 0.0000 0.0000
Mn1 Mn 0.0000 0.0000 0.2346
Co1 Co 0.0000 0.0000 0.5000

***

# PBE La4Tb2Pm2Y, relaxed
# Energy ... -44.71 eV per formula unit
data_La4Tb2Pm2Y
_symmetry_space_group_name_H-M 'C 1 2/m 1'
_symmetry_Int_Tables_number 12
_cell_length_a 15.5972
_cell_length_b 5.2094
_cell_length_c 8.1537
_cell_angle_alpha 90.00
_cell_angle_beta 108.65
_cell_angle_gamma 90.00
loop_
_symmetry_equiv_pos_as_xyz
'x,y,z'
'-x,-y,-z'
'-x,y,-z'
'x,-y,z'
'x+1/2,y+1/2,z'
'-x+1/2,-y+1/2,-z'
'-x+1/2,y+1/2,-z'
'x+1/2,-y+1/2,z'
loop_
_atom_site_label
_atom_site_type_symbol
_atom_site_fract_x
_atom_site_fract_y
_atom_site_fract_z
La1 La 0.0545 0.0000 0.3308
La2 La 0.2235 0.5000 0.3316
Tb1 Tb 0.1673 0.0000 0.0000
Pm1 Pm 0.1122 0.5000 0.6703
Y1 Y 0.0000 0.5000 0.0000